FeCuGeI2 at its PBEsol-relaxed geometry. Source: Alexandria via LeMat-Bulk, functional SCAN.

```
data_FeCuGeI2
_chemical_formula_sum 'Fe1 Cu1 Ge1 I2'
_cell_length_a 5.382
_cell_length_b 5.382
_cell_length_c 4.469
_cell_angle_alpha 90.00
_cell_angle_beta 90.00
_cell_angle_gamma 90.00
_space_group_name_H-M_alt 'P 1'
_space_group_IT_number 1
loop_
_space_group_symop_operation_xyz
'x,y,z'
loop_
_atom_site_label
_atom_site_fract_x
_atom_site_fract_y
_atom_site_fract_z
Fe1 0.000 0.000 0.000
Cu1 0.500 0.500 0.500
Ge1 0.500 0.500 0.000
I1 0.000 0.500 0.500
I2 0.500 0.000 0.500
```

Formation energy (no corrections) = 79 kJ per mole of atoms

TiZnCdN2 at its PBEsol-relaxed geometry. Source: Alexandria via LeMat-Bulk, functional SCAN.

```
data_TiZnCdN2
_chemical_formula_sum 'Ti1 Zn1 Cd1 N2'
_cell_length_a 4.109
_cell_length_b 4.109
_cell_length_c 5.241
_cell_angle_alpha 90.00
_cell_angle_beta 90.00
_cell_angle_gamma 90.00
_space_group_name_H-M_alt 'P 1'
_space_group_IT_number 1
loop_
_space_group_symop_operation_xyz
'x,y,z'
loop_
_atom_site_label
_atom_site_fract_x
_atom_site_fract_y
_atom_site_fract_z
Ti1 0.000 0.000 0.000
Zn1 0.500 0.500 0.000
Cd1 0.000 0.000 0.500
N1 0.000 0.500 0.500
N2 0.500 0.000 0.500
```

Formation energy (no corrections) = 177 kJ per mole of atoms

Mg2CdAg at its PBEsol-relaxed geometry. Source: Alexandria via LeMat-Bulk, functional SCAN.

```
data_Mg2CdAg
_chemical_formula_sum 'Mg2 Cd1 Ag1'
_cell_length_a 4.753
_cell_length_b 4.753
_cell_length_c 4.753
_cell_angle_alpha 60.00
_cell_angle_beta 60.00
_cell_angle_gamma 60.00
_space_group_name_H-M_alt 'P 1'
_space_group_IT_number 1
loop_
_space_group_symop_operation_xyz
'x,y,z'
loop_
_atom_site_label
_atom_site_fract_x
_atom_site_fract_y
_atom_site_fract_z
Mg1 0.250 0.250 0.250
Mg2 0.750 0.750 0.750
Cd1 0.000 0.000 0.000
Ag1 0.500 0.500 0.500
```

Energy of formation = -0.2247 eV per atom
Relative energy among the computed polymorphs = 11 meV/atom

Zr2ScBr at its PBEsol-relaxed geometry. Source: Alexandria via LeMat-Bulk, functional SCAN.

```
data_Zr2ScBr
_chemical_formula_sum 'Zr2 Sc1 Br1'
_cell_length_a 6.087
_cell_length_b 6.087
_cell_length_c 6.087
_cell_angle_alpha 149.74
_cell_angle_beta 129.26
_cell_angle_gamma 60.22
_space_group_name_H-M_alt 'P 1'
_space_group_IT_number 1
loop_
_space_group_symop_operation_xyz
'x,y,z'
loop_
_atom_site_label
_atom_site_fract_x
_atom_site_fract_y
_atom_site_fract_z
Zr1 0.235 0.235 0.000
Zr2 0.765 0.765 0.000
Sc1 0.500 0.000 0.500
Br1 0.000 0.500 0.500
```

Formation energy (no corrections) = -6 kJ per mole of atoms

CoReAu2 at its PBEsol-relaxed geometry. Source: Alexandria via LeMat-Bulk, functional SCAN.

```
data_CoReAu2
_chemical_formula_sum 'Co1 Re1 Au2'
_cell_length_a 4.877
_cell_length_b 4.877
_cell_length_c 2.666
_cell_angle_alpha 90.00
_cell_angle_beta 90.00
_cell_angle_gamma 110.70
_space_group_name_H-M_alt 'P 1'
_space_group_IT_number 1
loop_
_space_group_symop_operation_xyz
'x,y,z'
loop_
_atom_site_label
_atom_site_fract_x
_atom_site_fract_y
_atom_site_fract_z
Co1 0.000 0.000 0.000
Re1 0.500 0.500 0.000
Au1 0.000 0.500 0.500
Au2 0.500 0.000 0.500
```

Energy of formation = 0.4216 eV per atom

HfZrZn2 at its PBEsol-relaxed geometry. Source: Alexandria via LeMat-Bulk, functional SCAN.

```
data_HfZrZn2
_chemical_formula_sum 'Hf1 Zr1 Zn2'
_cell_length_a 4.625
_cell_length_b 4.625
_cell_length_c 4.625
_cell_angle_alpha 60.00
_cell_angle_beta 60.00
_cell_angle_gamma 60.00
_space_group_name_H-M_alt 'P 1'
_space_group_IT_number 1
loop_
_space_group_symop_operation_xyz
'x,y,z'
loop_
_atom_site_label
_atom_site_fract_x
_atom_site_fract_y
_atom_site_fract_z
Hf1 0.000 0.000 0.000
Zr1 0.500 0.500 0.500
Zn1 0.250 0.250 0.250
Zn2 0.750 0.750 0.750
```

Energy of formation = -0.3239 eV per atom

RbPPt2S at its PBEsol-relaxed geometry. Source: Alexandria via LeMat-Bulk, functional SCAN.

```
data_RbPPt2S
_chemical_formula_sum 'Rb1 P1 Pt2 S1'
_cell_length_a 4.471
_cell_length_b 4.471
_cell_length_c 5.755
_cell_angle_alpha 90.00
_cell_angle_beta 90.00
_cell_angle_gamma 90.00
_space_group_name_H-M_alt 'P 1'
_space_group_IT_number 1
loop_
_space_group_symop_operation_xyz
'x,y,z'
loop_
_atom_site_label
_atom_site_fract_x
_atom_site_fract_y
_atom_site_fract_z
Rb1 0.000 0.000 0.000
P1 0.500 0.500 0.000
Pt1 0.000 0.500 0.500
Pt2 0.500 0.000 0.500
S1 0.000 0.000 0.500
```

Formation energy (no corrections) = 61 kJ per mole of atoms

CrNi6Ru at its PBEsol-relaxed geometry. Source: Alexandria via LeMat-Bulk, functional SCAN.

```
data_CrNi6Ru
_chemical_formula_sum 'Cr4 Ni24 Ru4'
_cell_length_a 6.100
_cell_length_b 6.100
_cell_length_c 9.969
_cell_angle_alpha 90.00
_cell_angle_beta 90.00
_cell_angle_gamma 109.58
_space_group_name_H-M_alt 'P 1'
_space_group_IT_number 1
loop_
_space_group_symop_operation_xyz
'x,y,z'
loop_
_atom_site_label
_atom_site_fract_x
_atom_site_fract_y
_atom_site_fract_z
Cr1 0.000 0.000 0.248
Cr2 0.000 0.000 0.752
Cr3 0.250 0.750 0.000
Cr4 0.750 0.250 0.000
Ni1 0.000 0.000 0.000
Ni2 0.000 0.000 0.500
Ni3 0.123 0.372 0.373
Ni4 0.123 0.372 0.627
Ni5 0.123 0.374 0.123
Ni6 0.123 0.374 0.877
Ni7 0.250 0.750 0.248
Ni8 0.250 0.750 0.752
Ni9 0.372 0.123 0.373
Ni10 0.372 0.123 0.627
Ni11 0.374 0.123 0.123
Ni12 0.374 0.123 0.877
Ni13 0.500 0.500 0.000
Ni14 0.500 0.500 0.500
Ni15 0.626 0.877 0.123
Ni16 0.626 0.877 0.877
Ni17 0.628 0.877 0.373
Ni18 0.628 0.877 0.627
Ni19 0.750 0.250 0.248
Ni20 0.750 0.250 0.752
Ni21 0.877 0.626 0.123
Ni22 0.877 0.626 0.877
Ni23 0.877 0.628 0.373
Ni24 0.877 0.628 0.627
Ru1 0.249 0.751 0.500
Ru2 0.500 0.500 0.250
Ru3 0.500 0.500 0.750
Ru4 0.751 0.249 0.500
```

Energy of formation = 0.0500 eV per atom